VASP calculation (GGA-PBE) on a relaxed structure of MnInSb2.

Results
For the uncorrected formation energy, the calculation gives 0.162 eV per atom. The total magnetic moment is 3.77 μB per formula unit. The space group is No. 99. The crystal system is tetragonal. Its density is 6.7 g cm⁻³.

a = 4.0174 Å, b = 4.0174 Å, c = 6.3756 Å
α = 90.00°, β = 90.00°, γ = 90.00°
Last column: nearest neighbours and their distance in Å.
Atoms (fractional coordinates):
Mn  0.0000  0.0000  0.0000  5 Sb 2.79-2.85
In  0.5000  0.5000  0.5761  5 Sb 2.87-2.98
Sb  0.0000  0.0000  0.4368  1 Mn 2.79, 4 In 2.98
Sb  0.5000  0.5000  0.0269  4 Mn 2.85, 1 In 2.87